# 1
This record from Alexandria via LeMat-Bulk describes a geometry-optimized Na3Hg4Bi4 structure. The functional is PBE.

Properties
* VASP energy: -1.996 eV per atom
* total moment: 0.000 Bohr magnetons per cell
* DOS at the Fermi energy: 0.43 states/eV/atom
* calculated formation energy: -0.12 eV/atom
* theoretical density: 8.66 g/cm³

Structure (CIF):
```
data_Na3Hg4Bi4
_chemical_formula_sum 'Na3 Hg4 Bi4'
_symmetry_space_group_name_H-M 'P -1'
_symmetry_Int_Tables_number 2
_cell_length_a 5.338
_cell_length_b 8.133
_cell_length_c 8.611
_cell_angle_alpha 112.33
_cell_angle_beta 107.21
_cell_angle_gamma 90.13
loop_
_symmetry_equiv_pos_as_xyz
'x,y,z'
'-x,-y,-z'
loop_
_atom_site_label
_atom_site_fract_x
_atom_site_fract_y
_atom_site_fract_z
_atom_site_occupancy
Na1 0.000 0.000 0.000 1
Na2 0.380 0.508 0.279 1
Hg1 0.245 0.649 0.963 1
Hg2 0.445 0.059 0.350 1
Bi1 0.033 0.718 0.592 1
Bi2 0.149 0.221 0.774 1
```

# 2
This record from Alexandria via LeMat-Bulk describes a geometry-optimized Na2Hg2Bi structure. The functional is PBE.

Properties
* VASP energy: -1.534 eV per atom
* total moment: 0.000 Bohr magnetons per cell
* DOS at the Fermi energy: 0.57 states/eV/atom
* calculated formation energy: -0.11 eV/atom
* theoretical density: 7.42 g/cm³

Structure (CIF):
```
data_Na2Hg2Bi
_chemical_formula_sum 'Na4 Hg4 Bi2'
_symmetry_space_group_name_H-M 'C m m m'
_symmetry_Int_Tables_number 65
_symmetry_space_group_name_Hall '-C 2 2'
_cell_length_a 5.603
_cell_length_b 8.391
_cell_length_c 6.250
_cell_angle_alpha 90.00
_cell_angle_beta 90.00
_cell_angle_gamma 90.00
loop_
_atom_site_label
_atom_site_fract_x
_atom_site_fract_y
_atom_site_fract_z
_atom_site_occupancy
Na1 0.000 0.000 0.242 1
Hg1 0.000 0.325 0.500 1
Bi1 0.000 0.500 0.000 1
```

# 3
This record from Alexandria via LeMat-Bulk describes a geometry-optimized Na2Hg2Bi structure. The functional is PBE.

Properties
* VASP energy: -1.645 eV per atom
* total moment: 0.000 Bohr magnetons per cell
* DOS at the Fermi energy: 0.35 states/eV/atom
* calculated formation energy: -0.22 eV/atom
* theoretical density: 8.11 g/cm³

Structure (CIF):
```
data_Na2Hg2Bi
_chemical_formula_sum 'Na4 Hg4 Bi2'
_symmetry_space_group_name_H-M 'P 4/m b m'
_symmetry_Int_Tables_number 127
_symmetry_space_group_name_Hall '-P 4 2ab'
_cell_length_a 8.735
_cell_length_b 8.735
_cell_length_c 3.521
_cell_angle_alpha 90.00
_cell_angle_beta 90.00
_cell_angle_gamma 90.00
loop_
_atom_site_label
_atom_site_fract_x
_atom_site_fract_y
_atom_site_fract_z
_atom_site_occupancy
Na1 0.174 0.326 0.000 1
Hg1 0.123 0.623 0.500 1
Bi1 0.000 0.000 0.500 1
```

calculated formation energy of number 3 (Na2Hg2Bi)? -0.22 eV/atom

Which value of theoretical density does entry 2 give? 7.42 g/cm³